[1]
CsCrI2Br, relaxed, DFT PBE-GGA; space group = No. 123; total energy = -3.934 eV per atom
1.0
5.8086 0.0000 0.0000
0.0000 5.8086 0.0000
0.0000 0.0000 5.3477
Cs Cr I Br
1 1 2 1
direct
0.0000 0.0000 0.0000
0.5000 0.5000 0.5000
0.0000 0.5000 0.5000
0.5000 0.0000 0.5000
0.5000 0.5000 0.0000


[2]
Cs4Cr3InBr12, relaxed, DFT PBE-GGA; space group = No. 229; total energy = -3.901 eV per atom
1.0
-5.5130 5.5130 5.5130
5.5130 -5.5130 5.5130
5.5130 5.5130 -5.5130
Cs Cr In Br
4 3 1 12
direct
0.0000 0.0000 0.5000
0.0000 0.5000 0.0000
0.5000 0.0000 0.0000
0.5000 0.5000 0.5000
0.0000 0.5000 0.5000
0.5000 0.0000 0.5000
0.5000 0.5000 0.0000
0.0000 0.0000 0.0000
0.0000 0.2737 0.2737
0.0000 0.7263 0.7263
0.2500 0.5000 0.7500
0.2500 0.7500 0.5000
0.2737 0.0000 0.2737
0.2737 0.2737 0.0000
0.5000 0.2500 0.7500
0.5000 0.7500 0.2500
0.7263 0.0000 0.7263
0.7263 0.7263 0.0000
0.7500 0.2500 0.5000
0.7500 0.5000 0.2500


[3]
Cs3Cr2InBr9, relaxed, DFT PBE-GGA; space group = No. 164; total energy = -3.790 eV per atom
1.0
7.8026 0.0000 0.0000
-3.9013 6.7573 0.0000
0.0000 0.0000 9.6985
Cs Cr In Br
3 2 1 9
direct
0.0000 0.0000 0.0000
0.3333 0.6667 0.6674
0.6667 0.3333 0.3326
0.3333 0.6667 0.1555
0.6667 0.3333 0.8445
0.0000 0.0000 0.5000
0.0000 0.5000 0.0000
0.1788 0.3575 0.3082
0.1788 0.8212 0.3082
0.3575 0.1788 0.6918
0.5000 0.0000 0.0000
0.5000 0.5000 0.0000
0.6425 0.8212 0.3082
0.8212 0.1788 0.6918
0.8212 0.6425 0.6918


[4]
CsCrIn2Br8, relaxed, DFT PBE-GGA; space group = No. 148; total energy = -3.285 eV per atom
1.0
3.5473 2.0480 9.8496
-3.5473 2.0480 9.8496
0.0000 -4.0960 9.8496
Cs Cr In Br
1 1 2 8
direct
0.0000 0.0000 0.0000
0.5000 0.5000 0.5000
0.2187 0.2187 0.2187
0.7813 0.7813 0.7813
0.1990 0.3870 0.7687
0.2313 0.8010 0.6130
0.3086 0.3086 0.3086
0.3870 0.7687 0.1990
0.6130 0.2313 0.8010
0.6914 0.6914 0.6914
0.7687 0.1990 0.3870
0.8010 0.6130 0.2313


[5]
Cs2CrIrBr6, relaxed, DFT PBE-GGA; space group = No. 139; total energy = -3.843 eV per atom
1.0
-3.7702 3.7702 5.3434
3.7702 -3.7702 5.3434
3.7702 3.7702 -5.3434
Cs Cr Ir Br
2 1 1 6
direct
0.2500 0.7500 0.5000
0.7500 0.2500 0.5000
0.0000 0.0000 0.0000
0.5000 0.5000 0.0000
0.2561 0.2561 0.5122
0.2561 0.7439 0.0000
0.2571 0.2571 0.0000
0.7429 0.7429 0.0000
0.7439 0.2561 0.0000
0.7439 0.7439 0.4878


[6]
Cs3K3CrBr8, relaxed, DFT PBE-GGA; space group = No. 166; total energy = -3.431 eV per atom
1.0
4.7705 2.7543 8.2747
-4.7705 2.7543 8.2747
0.0000 -5.5085 8.2747
Cs K Cr Br
3 3 1 8
direct
0.0000 0.5000 0.5000
0.5000 0.0000 0.5000
0.5000 0.5000 0.0000
0.0000 0.0000 0.5000
0.0000 0.5000 0.0000
0.5000 0.0000 0.0000
0.5000 0.5000 0.5000
0.2407 0.2407 0.2407
0.2876 0.6996 0.6996
0.3004 0.3004 0.7124
0.3004 0.7124 0.3004
0.6996 0.2876 0.6996
0.6996 0.6996 0.2876
0.7124 0.3004 0.3004
0.7593 0.7593 0.7593


[7]
CsK2CrBr6, relaxed, DFT PBE-GGA; space group = No. 14; total energy = -3.619 eV per atom
1.0
7.8687 0.0000 0.0000
0.0000 8.3252 0.0000
-7.6444 0.0000 11.3358
Cs K Cr Br
2 4 2 12
direct
0.0000 0.0000 0.0000
0.0000 0.5000 0.5000
0.2835 0.0815 0.7521
0.2835 0.4185 0.2521
0.7165 0.5815 0.7479
0.7165 0.9185 0.2479
0.5000 0.0000 0.5000
0.5000 0.5000 0.0000
0.1636 0.0569 0.3028
0.1636 0.4431 0.8028
0.3081 0.6599 0.0659
0.3081 0.8401 0.5659
0.4460 0.2445 0.0832
0.4460 0.2555 0.5832
0.5540 0.7445 0.4168
0.5540 0.7555 0.9168
0.6919 0.1599 0.4341
0.6919 0.3401 0.9341
0.8364 0.5569 0.1972
0.8364 0.9431 0.6972


[8]
Cs2KCr2Br7, relaxed, DFT PBE-GGA; space group = No. 139; total energy = -4.031 eV per atom
1.0
-2.6830 2.6830 14.0901
2.6830 -2.6830 14.0901
2.6830 2.6830 -14.0901
Cs K Cr Br
2 1 2 7
direct
0.1803 0.1803 0.0000
0.8197 0.8197 0.0000
0.0000 0.0000 0.0000
0.4065 0.4065 0.0000
0.5935 0.5935 0.0000
0.0900 0.5900 0.5000
0.3133 0.3133 0.0000
0.4100 0.9100 0.5000
0.5000 0.5000 0.0000
0.5900 0.0900 0.5000
0.6867 0.6867 0.0000
0.9100 0.4100 0.5000


[9]
CsLiCr2Br8, relaxed, DFT PBE-GGA; space group = No. 148; total energy = -3.861 eV per atom
1.0
3.4832 2.0110 9.8029
-3.4832 2.0110 9.8029
0.0000 -4.0221 9.8029
Cs Li Cr Br
1 1 2 8
direct
0.0000 0.0000 0.0000
0.5000 0.5000 0.5000
0.2422 0.2422 0.2422
0.7578 0.7578 0.7578
0.1171 0.4507 0.7611
0.2389 0.8829 0.5493
0.3221 0.3221 0.3221
0.4507 0.7611 0.1171
0.5493 0.2389 0.8829
0.6779 0.6779 0.6779
0.7611 0.1171 0.4507
0.8829 0.5493 0.2389


[10]
Cs3LiCr2Br9, relaxed, DFT PBE-GGA; space group = No. 164; total energy = -3.832 eV per atom
1.0
7.6033 0.0000 0.0000
-3.8017 6.5847 0.0000
0.0000 0.0000 9.3493
Cs Li Cr Br
3 1 2 9
direct
0.0000 0.0000 0.0000
0.3333 0.6667 0.6623
0.6667 0.3333 0.3377
0.0000 0.0000 0.5000
0.3333 0.6667 0.1689
0.6667 0.3333 0.8311
0.0000 0.5000 0.0000
0.1728 0.3455 0.3214
0.1728 0.8272 0.3214
0.3455 0.1728 0.6786
0.5000 0.0000 0.0000
0.5000 0.5000 0.0000
0.6545 0.8272 0.3214
0.8272 0.1728 0.6786
0.8272 0.6545 0.6786


[11]
CsMgCr2Br8, relaxed, DFT PBE-GGA; space group = No. 148; total energy = -3.873 eV per atom
1.0
3.4789 2.0085 9.7792
-3.4789 2.0085 9.7792
0.0000 -4.0171 9.7792
Cs Mg Cr Br
1 1 2 8
direct
0.0000 0.0000 0.0000
0.5000 0.5000 0.5000
0.2348 0.2348 0.2348
0.7652 0.7652 0.7652
0.1355 0.4353 0.7677
0.2323 0.8645 0.5647
0.3157 0.3157 0.3157
0.4353 0.7677 0.1355
0.5647 0.2323 0.8645
0.6843 0.6843 0.6843
0.7677 0.1355 0.4353
0.8645 0.5647 0.2323


[12]
Cs2MgCrBr6, relaxed, DFT PBE-GGA; space group = No. 225; total energy = -3.624 eV per atom; offset from the most stable computed form = 0.029 eV per atom
1.0
0.0000 5.4211 5.4211
5.4211 0.0000 5.4211
5.4211 5.4211 0.0000
Cs Mg Cr Br
2 1 1 6
direct
0.2500 0.2500 0.2500
0.7500 0.7500 0.7500
0.0000 0.0000 0.0000
0.5000 0.5000 0.5000
0.2525 0.2525 0.7475
0.2525 0.7475 0.2525
0.2525 0.7475 0.7475
0.7475 0.2525 0.2525
0.7475 0.2525 0.7475
0.7475 0.7475 0.2525


> total energy of number 2 (Cs4Cr3InBr12)?

-3.901 eV per atom